[1]
{"formula": "Ni2AsI", "functional": "PBE", "state": "optimized geometry", "cell": [[-0.258, 0.528, 4.501], [-4.019, -0.277, 2.091], [-0.937, -3.562, 2.653]], "species": ["I", "Ni", "Ni", "As"], "frac_coords": [[0.500, 0.500, 0.500], [0.250, 0.250, 0.250], [0.750, 0.750, 0.750], [0.000, 0.000, 0.000]], "dos_at_fermi_per_ev_cell": 2.57, "spacegroup": "Fm-3m (225)", "e_tot_ev_per_atom": -3.929, "density_g_cm3": 8.02, "de_polymorph_ev_per_fu": 1.587, "crystal_system": "cubic"}



[2]
{"formula": "NiAsI3", "functional": "PBE", "state": "optimized geometry", "cell": [[-4.253, -0.125, 3.006], [-2.954, -0.811, -4.214], [0.569, -5.145, 0.591]], "species": ["I", "I", "I", "Ni", "As"], "frac_coords": [[0.000, 0.500, 0.000], [0.000, 0.000, 0.500], [0.500, 0.000, 0.000], [0.000, 0.000, 0.000], [0.500, 0.500, 0.500]], "dos_at_fermi_per_ev_cell": 4.72, "spacegroup": "Pm-3m (221)", "e_tot_ev_per_atom": -2.537, "density_g_cm3": 6.04, "de_polymorph_ev_per_fu": 0.000, "crystal_system": "cubic"}



[3]
{"formula": "Ni2AsI", "functional": "PBE", "state": "optimized geometry", "cell": [[5.747, 0.000, 0.000], [0.000, 5.747, 0.000], [2.874, 2.874, 5.185]], "species": ["I", "I", "Ni", "Ni", "Ni", "Ni", "As", "As"], "frac_coords": [[0.000, 0.000, 0.000], [0.750, 0.250, 0.500], [0.588, 0.125, 0.250], [0.162, 0.625, 0.250], [0.375, 0.412, 0.750], [0.875, 0.838, 0.750], [0.500, 0.500, 0.000], [0.250, 0.750, 0.500]], "dos_at_fermi_per_ev_cell": 7.02, "spacegroup": "I-42d (122)", "e_tot_ev_per_atom": -4.326, "density_g_cm3": 6.19, "de_polymorph_ev_per_fu": 0.000, "crystal_system": "tetragonal"}